Record 1
A relaxed structure of Mg2Si2W. Source: the Alexandria database, functional PBE-GGA.

Calculated values
- E_tot: -5.3145 eV per atom

Cell and atoms, written as POSCAR:
```
Mg2Si2W
1.0
-2.8364 5.9399 -0.3266
-1.9410 -0.5821 6.2712
3.3182 1.6494 1.1801
Si Mg W
4 4 2
Cartesian
-2.7126 1.6627 5.3033
-3.6857 4.7661 3.7020
-2.0649 3.6951 0.6413
-1.0917 0.5917 2.2426
-0.1381 1.4608 4.7543
-1.8551 4.3411 5.5562
-1.3212 5.5464 2.3704
0.3958 2.6661 1.5684
0.0000 0.0000 0.0000
-2.3887 2.6789 2.9723
```

Record 2
A relaxed structure of MgSi4W. Source: the Alexandria database, functional PBE-GGA.

Calculated values
- E_tot: -5.6198 eV per atom

Cell and atoms, written as POSCAR:
```
MgSi4W
1.0
0.0000 3.5066 3.5066
3.5066 0.0000 3.5066
3.5066 3.5066 0.0000
Mg Si W
1 4 1
Cartesian
0.0000 0.0000 0.0000
2.6369 4.3763 4.3763
4.3763 4.3763 2.6369
4.3763 2.6369 4.3763
2.6369 2.6369 2.6369
5.2599 5.2599 5.2599
```

Record 3
A relaxed structure of Mg2SiW. Source: the Alexandria database, functional PBE-GGA.

Calculated values
- E_tot: -5.2619 eV per atom

Cell and atoms, written as POSCAR:
```
Mg2SiW
1.0
3.2777 0.0000 0.0000
0.0000 3.2777 0.0000
0.0000 0.0000 6.6872
Mg Si W
2 1 1
Cartesian
0.0000 0.0000 6.4770
1.6389 1.6389 1.8660
0.0000 0.0000 3.6819
1.6389 1.6389 4.6931
```

Record 4
A relaxed structure of Mg2SiW. Source: the Alexandria database, functional PBE-GGA.

Calculated values
- E_tot: -5.1375 eV per atom

Cell and atoms, written as POSCAR:
```
Mg2SiW
1.0
5.4736 0.0019 0.0010
2.8847 4.6518 -0.0010
-3.8232 -2.9661 2.5584
Mg Si W
2 1 1
Cartesian
0.0962 0.0536 0.0000
4.0830 2.2733 0.0000
1.6203 2.0062 1.2787
2.9148 -0.3187 1.2797
```

Record 5
A relaxed structure of Mg6SiW. Source: the Alexandria database, functional PBE-GGA.

Calculated values
- E_tot: -3.2181 eV per atom
- Offset from the most stable computed form: 41.8 meV per atom

Cell and atoms, written as POSCAR:
```
Mg6SiW
1.0
-4.8856 -0.1729 3.5599
0.1422 -1.9758 -5.7138
1.3364 -4.5665 1.6123
Mg Si W
6 1 1
Cartesian
-3.2727 -3.7594 -0.1083
-0.8956 -2.6827 0.9711
-3.1150 -1.7384 -2.3418
-0.8215 -0.6995 -1.3003
-3.2726 -0.7512 0.5849
-0.7505 -1.6556 -4.0672
-3.3553 -2.7653 2.7760
-0.8173 -3.6753 -1.9053
```

Record 6
A relaxed structure of MgSi2W. Source: the Alexandria database, functional PBE-GGA.

Calculated values
- E_tot: -6.1264 eV per atom

Cell and atoms, written as POSCAR:
```
MgSi2W
1.0
-3.9697 2.8908 -1.1087
-3.7172 0.1330 3.3926
5.0050 0.5404 0.0503
Mg Si W
1 2 1
Cartesian
-1.4041 2.4716 0.0418
0.0000 0.0000 0.0000
-1.2778 1.0927 2.2924
-3.8435 1.5119 1.1419
```

Record 7
A relaxed structure of MgSi2W. Source: the Alexandria database, functional PBE-GGA.

Calculated values
- E_tot: -6.2213 eV per atom

Cell and atoms, written as POSCAR:
```
MgSi2W
1.0
5.0486 -0.0078 -0.0350
4.2542 2.7184 -0.0350
-0.1149 -0.0335 4.4705
Mg Si W
1 2 1
Cartesian
2.1336 0.6217 0.8632
9.0142 2.6265 0.1953
7.2314 2.1070 3.0329
4.7056 1.3711 2.4394
```

Record 8
A relaxed structure of MgSi2W. Source: the Alexandria database, functional PBE-GGA.

Calculated values
- E_tot: -5.6952 eV per atom

Cell and atoms, written as POSCAR:
```
MgSi2W
1.0
-0.1803 -2.3256 3.7477
3.0553 -3.0735 0.8396
3.0014 0.6782 3.1651
Mg Si W
1 2 1
Cartesian
2.9382 -2.3604 3.8762
0.0000 0.0000 0.0000
4.4073 -3.5406 5.8142
1.4691 -1.1802 1.9381
```

Number 1: E_form (uncorrected) 0.08 eV per atom. Number 2: E_form (uncorrected) 0.42 eV per atom. Number 3: E_form (uncorrected) 0.13 eV per atom. Number 4: E_form (uncorrected) 0.25 eV per atom. Number 5: E_form (uncorrected) 0.27 eV per atom. Number 6: E_form (uncorrected) 0.22 eV per atom. Number 7: E_form (uncorrected) 0.13 eV per atom. Number 8: E_form (uncorrected) 0.65 eV per atom.